Entry 1:
Density functional theory data (PBE) for Tl3AgC after structural relaxation.

Results
Total moment (μB/cell): 2.3
Energy relative to the elements (eV per atom): 1.475
Raw total energy (eV per atom): -2.36
Symmetry: Pm-3m, No. 221

a = 5.5564 Å, b = 5.5564 Å, c = 5.5564 Å
α = 90.00°, β = 90.00°, γ = 90.00°
Last column: nearest neighbours and their distance in Å.
Element x y z (fractional)
Tl1 0.0000 0.0000 0.5000  2 Ag 2.78
Tl2 0.0000 0.5000 0.0000  2 Ag 2.78
Tl3 0.5000 0.0000 0.0000  2 Ag 2.78
Ag1 0.0000 0.0000 0.0000  6 Tl 2.78
C1 0.5000 0.5000 0.5000  12 Tl 3.93

---

Entry 2:
Density functional theory data (PBE) for CaAgOs2 after structural relaxation.

Results
Total moment (μB/cell): 1.2
Energy relative to the elements (eV per atom): 0.775
Raw total energy (eV per atom): -6.05
Symmetry: R-3m, No. 166

a = 2.8136 Å, b = 2.8136 Å, c = 29.6422 Å
α = 90.00°, β = 90.00°, γ = 120.00°
Last column: nearest neighbours and their distance in Å.
Element x y z (fractional)
Ca1 0.0000 0.0000 0.0000  6 Ca 2.81, 6 Os 3.01
Ca2 0.3333 0.6667 0.6667  6 Ca 2.81, 6 Os 3.01
Ca3 0.6667 0.3333 0.3333  6 Ca 2.81, 6 Os 3.01
Ag1 0.0000 0.0000 0.5000  6 Ag 2.81, 6 Os 2.91
Ag2 0.3333 0.6667 0.1667  6 Ag 2.81, 6 Os 2.91
Ag3 0.6667 0.3333 0.8333  6 Ag 2.81, 6 Os 2.91
Os1 0.0000 0.0000 0.2479  6 Os 2.81, 3 Ag 2.91, 3 Ca 3.01
Os2 0.0000 0.0000 0.7521  6 Os 2.81, 3 Ag 2.91, 3 Ca 3.01
Os3 0.3333 0.6667 0.4187  6 Os 2.81, 3 Ag 2.91, 3 Ca 3.01
Os4 0.3333 0.6667 0.9146  6 Os 2.81, 3 Ag 2.91, 3 Ca 3.01
Os5 0.6667 0.3333 0.0854  6 Os 2.81, 3 Ag 2.91, 3 Ca 3.01
Os6 0.6667 0.3333 0.5813  6 Os 2.81, 3 Ag 2.91, 3 Ca 3.01

---

The lowest total moment belongs to which entry?
CaAgOs2

---

Which formula does entry 2 have?
CaAgOs2